(1)
A geometry-optimized Mn2PtCl structure. Source: Alexandria via LeMat-Bulk, functional GGA-PBE.

a b c (Å): 7.660 7.660 7.660
angles (deg): 24.98 24.98 24.98
Positions (direct):
1 Mn 0.997 0.997 0.997
2 Mn 0.503 0.503 0.503
3 Pt 0.250 0.250 0.250
4 Cl 0.750 0.750 0.750

Calculated values
**Spin magnetization**: 8.83 μB/f.u.
**Formation energy from raw total energies**: -0.1120 eV/atom
**Space-group type**: R-3m
**Uncorrected energy**: -6.6686 eV per atom
**Relative energy among the computed polymorphs**: 54.5 meV per atom



(2)
A geometry-optimized MnPt2Cl structure. Source: Alexandria via LeMat-Bulk, functional GGA-PBE.

a b c (Å): 4.508 4.508 4.508
angles (deg): 60.00 60.00 60.00
Positions (direct):
1 Mn 0.500 0.500 0.500
2 Pt 0.250 0.250 0.250
3 Pt 0.750 0.750 0.750
4 Cl 0.000 0.000 0.000

Calculated values
**Spin magnetization**: 4.38 μB/f.u.
**Formation energy from raw total energies**: 0.3912 eV/atom
**Space-group type**: Fm-3m
**Uncorrected energy**: -5.3832 eV per atom
**Relative energy among the computed polymorphs**: 486.4 meV per atom



(3)
A geometry-optimized MnPt2Cl structure. Source: Alexandria via LeMat-Bulk, functional GGA-PBE.

a b c (Å): 4.989 4.989 6.811
angles (deg): 77.87 77.87 33.81
Positions (direct):
1 Cl 0.314 0.314 0.539
2 Mn 0.767 0.767 0.812
3 Pt 0.076 0.076 0.062
4 Pt 0.343 0.343 0.088

Calculated values
**Spin magnetization**: 4.28 μB/f.u.
**Formation energy from raw total energies**: -0.0952 eV/atom
**Space-group type**: Cm
**Uncorrected energy**: -5.8696 eV per atom
**Relative energy among the computed polymorphs**: 0.0 meV per atom



(4)
A geometry-optimized MnPt3Cl structure. Source: Alexandria via LeMat-Bulk, functional GGA-PBE.

a b c (Å): 4.608 4.608 4.608
angles (deg): 90.00 90.00 90.00
Positions (direct):
1 Mn 0.000 0.000 0.000
2 Pt 0.000 0.500 0.000
3 Pt 0.000 0.000 0.500
4 Pt 0.500 0.000 0.000
5 Cl 0.500 0.500 0.500

Calculated values
**Spin magnetization**: 0.00 μB/f.u.
**Formation energy from raw total energies**: 1.1119 eV/atom
**Space-group type**: Pm-3m
**Uncorrected energy**: -4.7158 eV per atom
**Relative energy among the computed polymorphs**: 163.2 meV per atom



(5)
A geometry-optimized MnPt2Cl structure. Source: Alexandria via LeMat-Bulk, functional GGA-PBE.

a b c (Å): 8.495 8.495 8.495
angles (deg): 20.40 20.40 20.40
Positions (direct):
1 Cl 0.250 0.250 0.250
2 Mn 0.750 0.750 0.750
3 Pt 0.007 0.007 0.007
4 Pt 0.493 0.493 0.493

Calculated values
**Spin magnetization**: 3.82 μB/f.u.
**Formation energy from raw total energies**: 0.0253 eV/atom
**Space-group type**: R-3m
**Uncorrected energy**: -5.7491 eV per atom
**Relative energy among the computed polymorphs**: 120.5 meV per atom



(6)
A geometry-optimized Mn2PtCl structure. Source: Alexandria via LeMat-Bulk, functional GGA-PBE.

a b c (Å): 5.118 5.118 6.428
angles (deg): 66.54 66.54 90.00
Positions (direct):
1 Mn 0.590 0.125 0.250
2 Mn 0.160 0.625 0.250
3 Mn 0.375 0.410 0.750
4 Mn 0.875 0.840 0.750
5 Pt 0.000 0.000 0.000
6 Pt 0.750 0.250 0.500
7 Cl 0.500 0.500 0.000
8 Cl 0.250 0.750 0.500

Calculated values
**Spin magnetization**: 0.00 μB/f.u.
**Formation energy from raw total energies**: 0.7602 eV/atom
**Space-group type**: I-42d
**Uncorrected energy**: -5.7965 eV per atom
**Relative energy among the computed polymorphs**: 926.7 meV per atom